# 1
A plane-wave DFT calculation with PBE was carried out for crystalline Ga2HgBi at its relaxed geometry.

Geometry as extended XYZ:
```
8
Lattice="-3.352 3.352 5.762 3.352 -3.352 5.762 3.352 3.352 -5.762" Properties=species:S:1:pos:R:3 pbc="T T T"
Ga 5.029 1.610 -1.441
Ga 1.610 1.676 1.441
Ga -1.676 1.743 4.322
Ga 1.743 1.676 7.203
Hg 0.000 0.000 0.000
Hg 0.000 3.352 2.881
Bi 3.352 0.000 2.881
Bi 0.000 0.000 5.762
```

- energy of formation (eV per atom) = 0.1822
- total magnetization (μB/f.u.) = 0.0
- D(E_F) (states/eV/cell) = 2.95
- space-group type = I-42d, No. 122

=====

# 2
A plane-wave DFT calculation with PBE was carried out for crystalline Cs4Pm3HoSe8 at its relaxed geometry.

Geometry as extended XYZ:
```
16
Lattice="4.343 2.508 8.395 -4.343 2.508 8.395 0.000 -5.015 8.395" Properties=species:S:1:pos:R:3 pbc="T T T"
Cs 0.000 0.000 0.000
Cs -2.172 -1.254 8.395
Cs -2.172 1.254 16.791
Cs 0.000 2.508 8.395
Pm -4.343 0.000 12.593
Pm -2.172 1.254 4.198
Pm 2.172 1.254 4.198
Ho 0.000 0.000 12.593
Se 0.000 0.000 5.795
Se -2.129 -1.229 14.168
Se 0.000 -2.458 11.019
Se -2.129 1.229 11.019
Se 2.129 -1.229 14.168
Se 0.000 2.458 14.168
Se 2.129 1.229 11.019
Se 0.000 0.000 19.391
```

- total magnetization (μB/f.u.) = 0.0
- formation energy (no corrections) (eV/f.u.) = -27.64
- D(E_F) (states/eV/cell) = 0.00
- space-group type = R-3m, No. 166

=====

# 3
A plane-wave DFT calculation with PBE was carried out for crystalline NaHgTeAs2 at its relaxed geometry.

Geometry as extended XYZ:
```
5
Lattice="5.449 0.000 0.000 0.000 5.449 0.000 0.000 0.000 5.721" Properties=species:S:1:pos:R:3 pbc="T T T"
Na 0.000 0.000 0.000
Hg 2.725 2.725 0.000
Te 2.725 2.725 2.860
As 0.000 2.725 2.860
As 2.725 0.000 2.860
```

- total magnetization (μB/f.u.) = 0.0
- formation energy (no corrections) (eV/f.u.) = 2.15
- D(E_F) (states/eV/cell) = 4.45
- space-group type = P4/mmm, No. 123

=====

# 4
A plane-wave DFT calculation with PBE was carried out for crystalline Cd5Cu4 at its relaxed geometry.

Geometry as extended XYZ:
```
9
Lattice="-4.336 4.336 2.068 4.336 -4.336 2.068 4.336 4.336 -2.068" Properties=species:S:1:pos:R:3 pbc="T T T"
Cd 0.000 0.000 0.000
Cd 2.845 2.845 0.000
Cd 1.491 -1.491 2.068
Cd -1.491 1.491 2.068
Cd 1.491 1.491 2.068
Cu 3.080 0.000 0.000
Cu 5.591 0.000 0.000
Cu 0.000 3.080 0.000
Cu 0.000 5.591 0.000
```

- energy of formation (eV per atom) = 0.1111
- total magnetization (μB/f.u.) = 0.0
- D(E_F) (states/eV/cell) = 3.91
- space-group type = I4/mmm, No. 139

=====

# 5
A plane-wave DFT calculation with PBE was carried out for crystalline YGa2CoNi at its relaxed geometry.

Geometry as extended XYZ:
```
5
Lattice="-2.002 2.002 5.100 2.002 -2.002 5.100 2.002 2.002 -5.100" Properties=species:S:1:pos:R:3 pbc="T T T"
Y 0.000 0.000 0.000
Ga 0.000 0.000 3.813
Ga 0.000 0.000 6.387
Co 2.002 0.000 2.550
Ni 0.000 2.002 2.550
```

- energy of formation (eV per atom) = -0.4890
- total magnetization (μB/f.u.) = 0.0
- D(E_F) (states/eV/cell) = 3.08
- space-group type = I-4m2, No. 119

=====

# 6
A plane-wave DFT calculation with PBE was carried out for crystalline Cr3PtC at its relaxed geometry.

Geometry as extended XYZ:
```
5
Lattice="4.855 0.000 0.000 0.000 4.855 0.000 0.000 0.000 4.855" Properties=species:S:1:pos:R:3 pbc="T T T"
Cr 0.000 0.000 2.428
Cr 0.000 2.428 0.000
Cr 2.428 0.000 0.000
Pt 0.000 0.000 0.000
C 2.428 2.428 2.428
```

- energy of formation (eV per atom) = 2.2866
- total magnetization (μB/f.u.) = 11.1
- D(E_F) (states/eV/cell) = 8.93
- space-group type = Pm-3m, No. 221